Here is a geometry-optimized TmHg2Sb structure from Alexandria. Energies are from PBE-GGA.

Output
ΔE_f (raw) ... 147 meV per atom
N(E_F) ... 0.54 states/eV per atom
Raw total energy ... -2.1520 eV per atom

a b c (Å): 3.3989 3.3989 34.2536
angles (deg): 90.00 90.00 120.00
Closest atoms and distances in Å follow each position.
Atoms (fractional coordinates):
1 Tm 0.0000 0.0000 0.0000  2 Hg 2.99
2 Tm 0.3333 0.6667 0.6667  2 Hg 2.99
3 Tm 0.6667 0.3333 0.3333  2 Hg 2.99
4 Hg 0.0000 0.0000 0.0872  1 Tm 2.99
5 Hg 0.0000 0.0000 0.9128  1 Tm 2.99
6 Hg 0.3333 0.6667 0.5795  1 Tm 2.99
7 Hg 0.3333 0.6667 0.7539  1 Tm 2.99
8 Hg 0.6667 0.3333 0.2461  1 Tm 2.99
9 Hg 0.6667 0.3333 0.4205  1 Tm 2.99
10 Sb 0.0000 0.0000 0.5000  6 Hg 3.36, 6 Sb 3.40
11 Sb 0.3333 0.6667 0.1667  6 Hg 3.36, 6 Sb 3.40
12 Sb 0.6667 0.3333 0.8333  6 Hg 3.36, 6 Sb 3.40